(1)
# Ga2AgPb2 | Alexandria via LeMat-Bulk | meta-GGA SCAN | PBEsol geometry
# Crystal system: tetragonal
# Size of the total moment (μB per cell): 0.0
# Calculated volume (A^3/atom): 22.5
# SG: P4/mbm
# DFT formation energy (eV per atom): 0.1218
# DFT total energy (eV/atom): -43.003
data_Ga2AgPb2
_space_group_name_H-M_alt 'P 1'
_space_group_IT_number 1
_space_group_name_Hall 'P 1'
_cell_length_a 6.830
_cell_length_b 6.830
_cell_length_c 4.832
_cell_angle_alpha 90.00
_cell_angle_beta 90.00
_cell_angle_gamma 90.00
loop_
_atom_site_label
_atom_site_fract_x
_atom_site_fract_y
_atom_site_fract_z
Ga1 0.135 0.365 0.000
Ga2 0.365 0.865 0.000
Ga3 0.635 0.135 0.000
Ga4 0.865 0.635 0.000
Ag1 0.000 0.000 0.000
Ag2 0.500 0.500 0.000
Pb1 0.177 0.677 0.500
Pb2 0.323 0.177 0.500
Pb3 0.677 0.823 0.500
Pb4 0.823 0.323 0.500

=====

(2)
# Sc2PtAu | Alexandria via LeMat-Bulk | meta-GGA SCAN | PBEsol geometry
# Crystal system: trigonal
# Size of the total moment (μB per cell): 0.0
# Calculated volume (A^3/atom): 20.2
# SG: R-3m
# DFT formation energy (eV per atom): -1.0711
# DFT total energy (eV/atom): -43.027
data_Sc2PtAu
_space_group_name_H-M_alt 'P 1'
_space_group_IT_number 1
_space_group_name_Hall 'P 1'
_cell_length_a 6.740
_cell_length_b 6.740
_cell_length_c 6.740
_cell_angle_alpha 33.03
_cell_angle_beta 33.03
_cell_angle_gamma 33.03
loop_
_atom_site_label
_atom_site_fract_x
_atom_site_fract_y
_atom_site_fract_z
Sc1 0.244 0.244 0.244
Sc2 0.756 0.756 0.756
Pt1 0.500 0.500 0.500
Au1 0.000 0.000 0.000

=====

Question: What is the DFT total energy in the second record?
Answer: -43.027 eV/atom

=====

Question: Which value of DFT total energy does entry 1 give?
Answer: -43.003 eV/atom